# 1
Computed, not measured: a geometry-optimized Ba2Zn3In structure at the PBE level of DFT.

a b c (Å): 9.244 9.597 16.778
angles (deg): 90.00 90.00 90.00
Space group Fmmm (No. 69)
Unique sites:
Ba: 0.236 0.000 0.000
Ba: 0.250 0.250 0.250
Zn: 0.000 0.000 0.165
Zn: 0.000 0.249 0.081
In: 0.000 0.000 0.337

Computed properties:
Energy of formation from the pure elements, kJ/mol of formula units: -138
Energy above the lowest structure with this stoichiometry, meV per atom: 7
M_tot, μB/atom: 0.00
Crystal system: orthorhombic



# 2
Computed, not measured: a geometry-optimized Ba2ZnIn2 structure at the PBE level of DFT.

a b c (Å): 4.271 4.271 20.521
angles (deg): 90.00 90.00 90.00
Space group I4/mmm (No. 139)
Unique sites:
Ba: 0.000 0.000 0.096
Zn: 0.000 0.000 0.500
In: 0.000 0.500 0.250

Computed properties:
Energy of formation from the pure elements, kJ/mol of formula units: -60
Energy above the lowest structure with this stoichiometry, meV per atom: 216
M_tot, μB/atom: 0.00
Crystal system: tetragonal